[1]
First-principles (PBE-GGA) data for an optimized crystal structure of TbPrSm2Ho5, as listed in the Alexandria database. Values from VASP.

Results
Its crystal system is tetragonal. The value obtained for the total magnetization is 0.0 Bohr magnetons per cell. The calculated density is 8.06 g/cm³. As for the formation energy: 266.7 meV per atom.

Cell and atoms, written as Quantum ESPRESSO input:
```
&SYSTEM
  ibrav = 0, nat = 18, ntyp = 4
/
ATOMIC_SPECIES
Pr 140.91 Pr.upf
Tb 158.93 Tb.upf
Sm 150.36 Sm.upf
Ho 164.93 Ho.upf
CELL_PARAMETERS angstrom
-3.009 2.904 -7.715
-7.930 -3.263 1.865
3.512 6.797 6.179
ATOMIC_POSITIONS angstrom
Pr -0.979 3.309 1.627
Pr -6.448 3.129 -1.298
Tb -4.944 1.677 2.559
Tb -2.483 4.761 -2.230
Sm -8.169 -1.769 -1.316
Sm -3.396 -0.918 -0.176
Sm -7.543 0.559 -5.674
Sm -2.770 1.410 -4.534
Ho -4.367 4.475 1.310
Ho -0.654 6.350 -0.268
Ho -3.060 1.963 -0.981
Ho -6.773 0.089 0.597
Ho -2.199 3.296 5.011
Ho -8.941 1.267 -3.104
Ho -5.469 -0.179 -2.925
Ho 0.000 0.000 0.000
Ho -5.228 3.142 -4.682
Ho 1.514 5.171 3.433
```

[2]
First-principles (PBE-GGA) data for an optimized crystal structure of TiP2PbO, as listed in the Alexandria database. Values from VASP.

Results
Its crystal system is tetragonal. The value obtained for the total magnetization is 0.3 Bohr magnetons per cell. The calculation puts the formation energy (no corrections) at 3.8 eV per formula unit. The calculated density is 5.06 g/cm³.

Cell and atoms, written as Quantum ESPRESSO input:
```
&SYSTEM
  ibrav = 0, nat = 5, ntyp = 4
/
ATOMIC_SPECIES
P 30.97 P.upf
Pb 207.20 Pb.upf
O 16.00 O.upf
Ti 47.87 Ti.upf
CELL_PARAMETERS angstrom
5.144 0.000 0.000
0.000 5.144 0.000
0.000 0.000 4.129
ATOMIC_POSITIONS angstrom
P 2.572 0.000 0.000
P 0.000 2.572 0.000
Pb 0.000 0.000 0.000
O 0.000 0.000 2.064
Ti 2.572 2.572 2.064
```

[3]
First-principles (PBE-GGA) data for an optimized crystal structure of TbHgBi, as listed in the Alexandria database. Values from VASP.

Results
Its crystal system is tetragonal. The value obtained for the total magnetization is 0.0 Bohr magnetons per cell. The calculated density is 10.89 g/cm³. The energy above the most stable polymorph in this dataset is 0.183 eV/f.u. As for the formation energy: -394.3 meV per atom.

Cell and atoms, written as Quantum ESPRESSO input:
```
&SYSTEM
  ibrav = 0, nat = 3, ntyp = 3
/
ATOMIC_SPECIES
Hg 200.59 Hg.upf
Bi 208.98 Bi.upf
Tb 158.93 Tb.upf
CELL_PARAMETERS angstrom
-1.494 -0.942 3.901
3.849 -1.516 1.108
0.079 5.527 -0.986
ATOMIC_POSITIONS angstrom
Hg 0.715 2.448 0.865
Bi 2.323 2.693 3.890
Tb 1.451 -0.293 2.835
```

[4]
First-principles (PBE-GGA) data for an optimized crystal structure of SbPN2, as listed in the Alexandria database. Values from VASP.

Results
Its crystal system is trigonal. The value obtained for the total magnetization is 0.0 Bohr magnetons per cell. The calculation puts the formation energy (no corrections) at 1.6 eV per formula unit. The calculated density is 6.04 g/cm³. The energy above the most stable polymorph in this dataset is 0.383 eV/f.u.

Cell and atoms, written as Quantum ESPRESSO input:
```
&SYSTEM
  ibrav = 0, nat = 4, ntyp = 3
/
ATOMIC_SPECIES
N 14.01 N.upf
P 30.97 P.upf
Sb 121.76 Sb.upf
CELL_PARAMETERS angstrom
1.677 0.000 6.802
-0.838 1.452 6.802
-0.838 -1.452 6.802
ATOMIC_POSITIONS angstrom
N 0.000 0.000 17.923
N 0.000 0.000 2.483
P 0.000 0.000 10.203
Sb 0.000 0.000 0.000
```

[5]
First-principles (PBE-GGA) data for an optimized crystal structure of BeCoAs2Br, as listed in the Alexandria database. Values from VASP.

Results
Its crystal system is tetragonal. The value obtained for the total magnetization is 0.0 Bohr magnetons per cell. The calculation puts the formation energy (no corrections) at 3.8 eV per formula unit. The calculated density is 4.71 g/cm³. The energy above the most stable polymorph in this dataset is 0.000 eV/f.u.

Cell and atoms, written as Quantum ESPRESSO input:
```
&SYSTEM
  ibrav = 0, nat = 5, ntyp = 4
/
ATOMIC_SPECIES
As 74.92 As.upf
Co 58.93 Co.upf
Be 9.01 Be.upf
Br 79.90 Br.upf
CELL_PARAMETERS angstrom
-3.752 -2.079 -1.223
2.305 -3.757 -0.684
-0.842 -1.429 5.012
ATOMIC_POSITIONS angstrom
As 1.152 -1.878 -0.342
As -1.876 -1.040 -0.612
Co 0.000 0.000 0.000
Be -1.144 -3.632 1.553
Br -0.421 -0.714 2.506
```

[6]
First-principles (PBE-GGA) data for an optimized crystal structure of Ge3PW, as listed in the Alexandria database. Values from VASP.

Results
Its crystal system is cubic. The value obtained for the total magnetization is 0.0 Bohr magnetons per cell. The calculated density is 7.44 g/cm³. The energy above the most stable polymorph in this dataset is 2.587 eV/f.u. As for the formation energy: 1401.6 meV per atom.

Cell and atoms, written as Quantum ESPRESSO input:
```
&SYSTEM
  ibrav = 0, nat = 5, ntyp = 3
/
ATOMIC_SPECIES
W 183.84 W.upf
P 30.97 P.upf
Ge 72.64 Ge.upf
CELL_PARAMETERS angstrom
4.588 0.000 0.000
0.000 4.588 0.000
0.000 0.000 4.588
ATOMIC_POSITIONS angstrom
W 2.294 2.294 2.294
P 0.000 0.000 0.000
Ge 0.000 2.294 0.000
Ge 2.294 0.000 0.000
Ge 0.000 0.000 2.294
```

[7]
First-principles (PBE-GGA) data for an optimized crystal structure of Cr2FeAsN, as listed in the Alexandria database. Values from VASP.

Results
Its crystal system is tetragonal. The value obtained for the total magnetization is 1.3 Bohr magnetons per cell. The calculation puts the formation energy (no corrections) at -0.7 eV per formula unit. The calculated density is 7.22 g/cm³.

Cell and atoms, written as Quantum ESPRESSO input:
```
&SYSTEM
  ibrav = 0, nat = 5, ntyp = 4
/
ATOMIC_SPECIES
N 14.01 N.upf
Cr 52.00 Cr.upf
Fe 55.84 Fe.upf
As 74.92 As.upf
CELL_PARAMETERS angstrom
3.866 0.000 0.000
0.000 3.866 0.000
0.000 0.000 3.829
ATOMIC_POSITIONS angstrom
N 0.000 0.000 0.000
Cr 0.000 1.933 0.000
Cr 1.933 0.000 0.000
Fe 0.000 0.000 1.915
As 1.933 1.933 1.915
```

[8]
First-principles (PBE-GGA) data for an optimized crystal structure of YZn3Ir, as listed in the Alexandria database. Values from VASP.

Results
Its crystal system is cubic. The value obtained for the total magnetization is 0.7 Bohr magnetons per cell. The calculated density is 5.43 g/cm³. The energy above the most stable polymorph in this dataset is 9.108 eV/f.u. As for the formation energy: 1728.7 meV per atom.

Cell and atoms, written as Quantum ESPRESSO input:
```
&SYSTEM
  ibrav = 0, nat = 5, ntyp = 3
/
ATOMIC_SPECIES
Zn 65.41 Zn.upf
Ir 192.22 Ir.upf
Y 88.91 Y.upf
CELL_PARAMETERS angstrom
5.266 0.000 0.000
0.000 5.266 0.000
0.000 0.000 5.266
ATOMIC_POSITIONS angstrom
Zn 2.633 0.000 0.000
Zn 0.000 0.000 2.633
Zn 0.000 2.633 0.000
Ir 2.633 2.633 2.633
Y 0.000 0.000 0.000
```